Entry 1:
Crystalline TlCoRh2 at its relaxed geometry. Source: Alexandria, functional PBE.

Cell: 2.9694 3.3794 6.2097 Å, 90.00 90.00 90.00°
Last column: nearest neighbours and their distance in Å.
Element x y z (fractional)
Co 0.5000 0.5000 0.7500  8 Rh 2.62
Rh 0.0000 0.0000 0.9677  4 Co 2.62, 1 Rh 2.70, 4 Tl 2.85
Rh 0.0000 0.0000 0.5323  4 Co 2.62, 1 Rh 2.70, 4 Tl 2.85
Tl 0.5000 0.5000 0.2500  8 Rh 2.85, 2 Tl 2.97, 2 Co 3.10

- energy of formation from the pure elements (meV per atom) = 203
- density of states at the Fermi level (states/eV/f.u.) = 4.9
- space group = No. 47


Entry 2:
Crystalline TlCoRh at its relaxed geometry. Source: Alexandria, functional PBE.

Cell: 2.9847 2.9847 6.4823 Å, 90.00 90.00 120.00°
Last column: nearest neighbours and their distance in Å.
Element x y z (fractional)
Co 0.0000 0.0000 0.0201  3 Rh 2.54, 3 Tl 2.84
Rh 0.6667 0.3333 0.3087  3 Co 2.54
Tl 0.3333 0.6667 0.6711  3 Co 2.84, 3 Rh 2.91, 6 Tl 2.98

- energy of formation from the pure elements (meV per atom) = 493
- density of states at the Fermi level (states/eV/f.u.) = 4.1
- space group = No. 156